Entry 1:
Computed, not measured: crystalline TaRe2Pt at its relaxed geometry at the PBEsol level of DFT.

a = 2.780 Å, b = 3.935 Å, c = 5.620 Å
α = 90.00°, β = 90.00°, γ = 90.00°
Fractional positions:
Ta1 0.000 0.000 0.000
Re1 0.000 0.000 0.520
Re2 0.500 0.500 0.728
Pt1 0.500 0.500 0.249

Values from the calculation:
**Total magnetization**: 0.0 μB per formula unit
**Formation enthalpy at 0 K**: -211 meV/atom
**Uncorrected energy**: -11.76 eV/atom
**Polymorph energy (0 for the lowest one)**: 68 meV per atom


Entry 2:
Computed, not measured: crystalline CdRu2Br at its relaxed geometry at the PBEsol level of DFT.

a = 4.524 Å, b = 4.524 Å, c = 3.086 Å
α = 90.00°, β = 90.00°, γ = 90.00°
Fractional positions:
Cd1 0.000 0.000 0.000
Ru1 0.000 0.500 0.500
Ru2 0.500 0.000 0.500
Br1 0.500 0.500 0.000

Values from the calculation:
**Total magnetization**: 0.0 μB per formula unit
**Uncorrected energy**: -4.99 eV/atom
**Polymorph energy (0 for the lowest one)**: 220 meV per atom
**Uncorrected formation energy**: 868 meV per atom


Entry 3:
Computed, not measured: crystalline CrReRu at its relaxed geometry at the PBEsol level of DFT.

a = 3.983 Å, b = 3.983 Å, c = 3.983 Å
α = 60.00°, β = 60.00°, γ = 60.00°
Fractional positions:
Cr1 0.000 0.000 0.000
Re1 0.750 0.750 0.750
Ru1 0.250 0.250 0.250

Values from the calculation:
**Total magnetization**: 0.0 μB per formula unit
**Formation enthalpy at 0 K**: 676 meV/atom
**Uncorrected energy**: -10.57 eV/atom
**Polymorph energy (0 for the lowest one)**: 541 meV per atom


Entry 4:
Computed, not measured: crystalline TiCrCuS4 at its relaxed geometry at the PBEsol level of DFT.

a = 5.691 Å, b = 3.333 Å, c = 11.218 Å
α = 90.00°, β = 90.63°, γ = 90.00°
Fractional positions:
Ti1 0.246 0.250 0.004
Ti2 0.754 0.750 0.996
Cr1 0.305 0.250 0.495
Cr2 0.695 0.750 0.505
Cu1 0.227 0.250 0.737
Cu2 0.773 0.750 0.263
S1 0.084 0.750 0.600
S2 0.089 0.750 0.133
S3 0.405 0.750 0.369
S4 0.413 0.750 0.870
S5 0.587 0.250 0.130
S6 0.595 0.250 0.631
S7 0.911 0.250 0.867
S8 0.916 0.250 0.400

Values from the calculation:
**Total magnetization**: 1.2 μB per formula unit
**Uncorrected energy**: -6.66 eV/atom
**Polymorph energy (0 for the lowest one)**: 50 meV per atom
**Uncorrected formation energy**: -879 meV per atom


Entry 5:
Computed, not measured: crystalline TlCr2As at its relaxed geometry at the PBEsol level of DFT.

a = 2.944 Å, b = 2.944 Å, c = 7.630 Å
α = 90.00°, β = 90.00°, γ = 90.00°
Fractional positions:
Tl1 0.000 0.000 0.000
Cr1 0.000 0.000 0.582
Cr2 0.500 0.500 0.734
As1 0.500 0.500 0.388

Values from the calculation:
**Total magnetization**: 0.0 μB per formula unit
**Formation enthalpy at 0 K**: 259 meV/atom
**Uncorrected energy**: -6.80 eV/atom
**Polymorph energy (0 for the lowest one)**: 0 meV per atom


Entry 6:
Computed, not measured: crystalline HfReTe2 at its relaxed geometry at the PBEsol level of DFT.

a = 9.381 Å, b = 9.381 Å, c = 9.381 Å
α = 151.97°, β = 151.97°, γ = 40.06°
Fractional positions:
Hf1 0.000 0.000 0.000
Hf2 0.750 0.250 0.500
Re1 0.250 0.750 0.500
Re2 0.500 0.500 0.000
Te1 0.146 0.625 0.021
Te2 0.375 0.396 0.521
Te3 0.604 0.125 0.979
Te4 0.875 0.854 0.479

Values from the calculation:
**Total magnetization**: 0.0 μB per formula unit
**Uncorrected energy**: -7.23 eV/atom
**Uncorrected formation energy**: 490 meV per atom


Entry 7:
Computed, not measured: crystalline CoOsAu2 at its relaxed geometry at the PBEsol level of DFT.

a = 2.669 Å, b = 3.960 Å, c = 5.554 Å
α = 90.00°, β = 90.00°, γ = 90.00°
Fractional positions:
Co1 0.000 0.000 0.000
Os1 0.000 0.000 0.500
Au1 0.500 0.500 0.245
Au2 0.500 0.500 0.755

Values from the calculation:
**Total magnetization**: 2.2 μB per formula unit
**Formation enthalpy at 0 K**: 572 meV/atom
**Uncorrected energy**: -6.38 eV/atom
**Polymorph energy (0 for the lowest one)**: 327 meV per atom


Entry 8:
Computed, not measured: crystalline AlOsBr at its relaxed geometry at the PBEsol level of DFT.

a = 3.051 Å, b = 3.051 Å, c = 6.346 Å
α = 90.00°, β = 90.00°, γ = 120.00°
Fractional positions:
Al1 0.000 0.000 0.000
Os1 0.667 0.333 0.273
Br1 0.333 0.667 0.701

Values from the calculation:
**Total magnetization**: 0.0 μB per formula unit
**Uncorrected energy**: -5.71 eV/atom
**Polymorph energy (0 for the lowest one)**: 0 meV per atom
**Uncorrected formation energy**: 347 meV per atom